Here is a geometry-optimized ErLuCdFe structure from the Alexandria database. Energies are from PBE.

Geometry as CIF:
```
data_ErLuCdFe
_space_group_name_H-M_alt 'F -4 3 m'
_space_group_IT_number 216
_space_group_name_Hall 'F -4 2 3'
_cell_length_a 7.047
_cell_length_b 7.047
_cell_length_c 7.047
_cell_angle_alpha 90.00
_cell_angle_beta 90.00
_cell_angle_gamma 90.00
loop_
_atom_site_label
_atom_site_type_symbol
_atom_site_fract_x
_atom_site_fract_y
_atom_site_fract_z
Er1 Er 0.000 0.000 0.000
Lu1 Lu 0.000 0.000 0.500
Cd1 Cd 0.250 0.250 0.750
Fe1 Fe 0.250 0.250 0.250
```

energy = -0.170 hartree per atom
theoretical density = 9.690 g/cm³